A plane-wave DFT calculation with PBE was carried out for a relaxed Tb2TlHg crystal.

Geometry as POSCAR:
```
Tb2TlHg
1.0
7.550 0.000 0.000
0.000 7.550 0.000
0.000 0.000 7.550
Tb Tl Hg
8 4 4
direct
0.250 0.250 0.250
0.250 0.250 0.750
0.250 0.750 0.250
0.250 0.750 0.750
0.750 0.250 0.250
0.750 0.250 0.750
0.750 0.750 0.250
0.750 0.750 0.750
0.000 0.000 0.000
0.000 0.500 0.500
0.500 0.000 0.500
0.500 0.500 0.000
0.000 0.000 0.500
0.000 0.500 0.000
0.500 0.000 0.000
0.500 0.500 0.500
```

The value obtained for the density of states at the Fermi level is 0.973 states/eV/atom. Its energy of formation from the pure elements is -0.42 eV per atom.